Below is a relaxed structure of Y2NiRh, with properties calculated at the GGA-PBE level.

Values from the calculation:
The calculation puts the energy of formation at -0.632 eV/atom. As for the space-group type: No. 38. The calculation puts the density of states at the Fermi level at 2.1 states/eV per cell.

Cell and atoms, written as extended XYZ:
```
4
Lattice="-3.505 -3.898 -1.981 -0.238 -3.955 -3.963 1.578 -2.780 2.679" Properties=species:S:1:pos:R:3 pbc="T T T"
Y 0.136 -0.476 0.238
Y -1.759 -7.496 -2.685
Ni -0.707 -5.289 -1.014
Rh -0.919 -2.689 -1.437
```

Below is a relaxed structure of Y3NiRh, with properties calculated at the GGA-PBE level.

Values from the calculation:
The calculation puts the energy of formation at -0.534 eV/atom. The value obtained for the distance to the lowest polymorph of the same formula is 0.0 meV/atom. As for the space-group type: No. 11. The calculation puts the density of states at the Fermi level at 7.2 states/eV per cell.

Cell and atoms, written as extended XYZ:
```
10
Lattice="3.971 0.000 0.000 0.000 7.195 -2.009 0.000 -0.483 8.310" Properties=species:S:1:pos:R:3 pbc="T T T"
Y 2.978 4.408 2.019
Y 0.993 2.304 4.282
Y 2.978 1.752 7.128
Y 0.993 6.134 4.485
Y 0.993 4.961 -0.827
Y 2.978 0.578 1.816
Ni 0.993 6.584 1.575
Ni 2.978 0.128 4.726
Rh 0.993 2.552 0.901
Rh 2.978 4.160 5.401
```

Below is a relaxed structure of Y6NiRh, with properties calculated at the GGA-PBE level.

Values from the calculation:
The calculation puts the energy of formation at -0.260 eV/atom. As for the space-group type: No. 148. The calculation puts the density of states at the Fermi level at 8.7 states/eV per cell.

Cell and atoms, written as extended XYZ:
```
8
Lattice="-6.456 -0.079 1.111 -2.819 -5.336 2.549 -2.109 0.486 7.101" Properties=species:S:1:pos:R:3 pbc="T T T"
Y -3.288 -1.907 6.473
Y -6.634 -0.124 6.339
Y -4.961 -1.262 3.078
Y -4.750 -4.804 4.422
Y -8.097 -3.021 4.288
Y -6.424 -3.666 7.683
Ni -5.692 -2.464 5.381
Rh 0.000 0.000 0.000
```

Below is a relaxed structure of Y2NiRh, with properties calculated at the GGA-PBE level.

Values from the calculation:
The calculation puts the energy of formation at -0.231 eV/atom. As for the space-group type: No. 122. The calculation puts the density of states at the Fermi level at 3.7 states/eV per cell.

Cell and atoms, written as extended XYZ:
```
8
Lattice="7.338 0.000 0.000 0.000 7.338 0.000 3.669 3.669 3.164" Properties=species:S:1:pos:R:3 pbc="T T T"
Y 5.471 1.835 0.791
Y 1.867 5.504 0.791
Y 5.504 5.536 2.373
Y 9.173 9.141 2.373
Ni 3.669 3.669 0.000
Ni 3.669 7.338 1.582
Rh 0.000 0.000 0.000
Rh 7.338 3.669 1.582
```

Below is a relaxed structure of YNiRh, with properties calculated at the GGA-PBE level.

Values from the calculation:
The calculation puts the energy of formation at -0.294 eV/atom. As for the space-group type: No. 107. The calculation puts the density of states at the Fermi level at 2.9 states/eV per cell.

Cell and atoms, written as extended XYZ:
```
3
Lattice="-3.979 -2.620 2.126 -1.234 -3.065 4.038 -1.383 1.895 2.426" Properties=species:S:1:pos:R:3 pbc="T T T"
Ni -1.499 1.665 2.540
Rh -3.823 -2.933 4.807
Y -2.657 -0.626 3.669
```

Below is a relaxed structure of Y3NiRh2, with properties calculated at the GGA-PBE level.

Values from the calculation:
The calculation puts the energy of formation at -0.686 eV/atom. As for the space-group type: No. 164. The calculation puts the density of states at the Fermi level at 5.6 states/eV per cell.

Cell and atoms, written as extended XYZ:
```
12
Lattice="4.845 0.000 0.000 -2.422 4.196 0.000 0.000 0.000 11.892" Properties=species:S:1:pos:R:3 pbc="T T T"
Y 0.000 2.797 4.961
Y 2.422 1.399 1.005
Y 0.000 0.000 8.902
Y 0.000 0.000 2.990
Y 0.000 2.797 10.887
Y 2.422 1.399 6.931
Ni 0.000 2.797 7.934
Ni 2.422 1.399 3.958
Rh 0.000 0.000 5.946
Rh 0.000 2.797 1.996
Rh 2.422 1.399 9.895
Rh 0.000 0.000 0.000
```

Below is a relaxed structure of YNi2Rh2, with properties calculated at the GGA-PBE level.

Values from the calculation:
The calculation puts the energy of formation at -0.220 eV/atom. The value obtained for the distance to the lowest polymorph of the same formula is 14.8 meV/atom. As for the space-group type: No. 139. The calculation puts the density of states at the Fermi level at 15.2 states/eV per cell.

Cell and atoms, written as extended XYZ:
```
10
Lattice="3.953 0.000 0.000 0.000 3.953 0.000 -1.976 -1.976 10.559" Properties=species:S:1:pos:R:3 pbc="T T T"
Y 1.976 1.976 2.647
Y 0.000 0.000 7.912
Ni 0.000 1.976 0.000
Ni 0.000 0.000 3.781
Ni 1.976 0.000 0.000
Ni 1.976 1.976 6.778
Rh 1.976 0.000 5.280
Rh 1.976 1.976 9.093
Rh 0.000 0.000 1.466
Rh 0.000 1.976 5.280
```

Below is a relaxed structure of Y4NiRh3, with properties calculated at the GGA-PBE level.

Values from the calculation:
The calculation puts the energy of formation at -0.725 eV/atom. As for the space-group type: No. 47. The calculation puts the density of states at the Fermi level at 3.6 states/eV per cell.

Cell and atoms, written as extended XYZ:
```
8
Lattice="-2.028 2.241 -1.524 -3.852 -2.864 0.916 -1.365 4.562 8.525" Properties=species:S:1:pos:R:3 pbc="T T T"
Y -0.682 2.281 4.263
Y -2.953 2.000 6.871
Y 0.000 0.000 0.000
Y -2.264 -0.302 2.570
Ni -2.940 -0.312 -0.304
Rh -1.355 2.259 1.367
Rh -3.623 1.969 3.959
Rh -2.038 4.544 5.635
```

Below is a relaxed structure of YNiRh4, with properties calculated at the GGA-PBE level.

Values from the calculation:
The calculation puts the energy of formation at -0.148 eV/atom. As for the space-group type: No. 216. The calculation puts the density of states at the Fermi level at 10.9 states/eV per cell.

Cell and atoms, written as extended XYZ:
```
6
Lattice="0.000 3.682 3.682 3.682 0.000 3.682 3.682 3.682 0.000" Properties=species:S:1:pos:R:3 pbc="T T T"
Y 5.523 5.523 5.523
Ni 0.000 0.000 0.000
Rh 2.757 4.607 4.607
Rh 4.607 4.607 2.757
Rh 4.607 2.757 4.607
Rh 2.757 2.757 2.757
```

Below is a relaxed structure of YNiRh, with properties calculated at the GGA-PBE level.

Values from the calculation:
The calculation puts the energy of formation at -0.210 eV/atom. As for the space-group type: No. 216. The calculation puts the density of states at the Fermi level at 3.7 states/eV per cell.

Cell and atoms, written as extended XYZ:
```
3
Lattice="-3.598 1.618 -1.789 -2.937 -2.662 -1.746 -3.830 -0.572 1.941" Properties=species:S:1:pos:R:3 pbc="T T T"
Ni -2.591 -0.404 -0.399
Rh 0.000 0.000 0.000
Y -5.182 -0.808 -0.797
```

Below is a relaxed structure of YNiRh, with properties calculated at the GGA-PBE level.

Values from the calculation:
The calculation puts the energy of formation at -0.534 eV/atom. As for the space-group type: No. 187. The calculation puts the density of states at the Fermi level at 2.5 states/eV per cell.

Cell and atoms, written as extended XYZ:
```
3
Lattice="4.130 0.000 0.000 -2.065 3.576 0.000 0.000 0.000 3.779" Properties=species:S:1:pos:R:3 pbc="T T T"
Y 0.000 2.384 2.519
Ni 0.000 0.000 0.630
Rh 2.065 1.192 0.630
```

Below is a relaxed structure of Y5NiRh4, with properties calculated at the GGA-PBE level.

Values from the calculation:
The calculation puts the energy of formation at -0.744 eV/atom. As for the space-group type: No. 123. The calculation puts the density of states at the Fermi level at 5.7 states/eV per cell.

Cell and atoms, written as extended XYZ:
```
10
Lattice="-1.755 -1.829 2.276 -0.363 -2.498 -2.288 14.835 -7.273 5.592" Properties=species:S:1:pos:R:3 pbc="T T T"
Y 0.408 -2.883 0.547
Y 3.375 -4.338 1.665
Y 6.359 -5.800 2.790
Y 9.342 -7.263 3.915
Y 12.310 -8.718 5.033
Ni 0.000 0.000 0.000
Rh 2.936 -1.440 1.107
Rh 5.923 -2.904 2.232
Rh 8.912 -4.369 3.359
Rh 11.898 -5.834 4.485
```